(1)
# Pr2DyPb, relaxed, DFT GGA-PBE
# - calculated formation energy (eV per atom) = 0.02
data_Pr2DyPb
_symmetry_space_group_name_H-M 'C m c m'
_symmetry_Int_Tables_number 63
_symmetry_space_group_name_Hall '-C 2c 2'
_cell_length_a 3.4996
_cell_length_b 27.3254
_cell_length_c 5.7842
_cell_angle_alpha 90.00
_cell_angle_beta 90.00
_cell_angle_gamma 90.00
loop_
_atom_site_label
_atom_site_type_symbol
_atom_site_fract_x
_atom_site_fract_y
_atom_site_fract_z
Pr1 Pr 0.0000 0.0926 0.2500
Pr2 Pr 0.0000 0.1845 0.7500
Dy1 Dy 0.0000 0.0284 0.7500
Pb1 Pb 0.0000 0.3031 0.7500

(2)
# Pr2DyPb, relaxed, DFT GGA-PBE
# - calculated formation energy (eV per atom) = -0.32
data_Pr2DyPb
_symmetry_space_group_name_H-M 'P 4/m m m'
_symmetry_Int_Tables_number 123
_symmetry_space_group_name_Hall '-P 4 2'
_cell_length_a 4.9461
_cell_length_b 4.9461
_cell_length_c 5.0458
_cell_angle_alpha 90.00
_cell_angle_beta 90.00
_cell_angle_gamma 90.00
loop_
_atom_site_label
_atom_site_type_symbol
_atom_site_fract_x
_atom_site_fract_y
_atom_site_fract_z
Pr1 Pr 0.0000 0.5000 0.0000
Dy1 Dy 0.0000 0.0000 0.5000
Pb1 Pb 0.5000 0.5000 0.5000

(3)
# PrDyPb2, relaxed, DFT GGA-PBE
# - calculated formation energy (eV per atom) = -0.48
data_PrDyPb2
_symmetry_space_group_name_H-M 'P 4/m m m'
_symmetry_Int_Tables_number 123
_symmetry_space_group_name_Hall '-P 4 2'
_cell_length_a 3.5914
_cell_length_b 3.5914
_cell_length_c 9.1213
_cell_angle_alpha 90.00
_cell_angle_beta 90.00
_cell_angle_gamma 90.00
loop_
_atom_site_label
_atom_site_type_symbol
_atom_site_fract_x
_atom_site_fract_y
_atom_site_fract_z
Pr1 Pr 0.0000 0.0000 0.0000
Dy1 Dy 0.0000 0.0000 0.5000
Pb1 Pb 0.5000 0.5000 0.2594

(4)
# Pr7DyPb4, relaxed, DFT GGA-PBE
# - calculated formation energy (eV per atom) = -0.17
data_Pr7DyPb4
_symmetry_space_group_name_H-M 'C 1 2/m 1'
_symmetry_Int_Tables_number 12
_symmetry_space_group_name_Hall '-C 2y'
_cell_length_a 14.6080
_cell_length_b 6.0269
_cell_length_c 11.2703
_cell_angle_alpha 90.00
_cell_angle_beta 124.85
_cell_angle_gamma 90.00
loop_
_atom_site_label
_atom_site_type_symbol
_atom_site_fract_x
_atom_site_fract_y
_atom_site_fract_z
Pr1 Pr 0.0000 0.0000 0.0000
Pr2 Pr 0.0535 0.5000 0.3699
Pr3 Pr 0.1948 0.0000 0.6191
Pr4 Pr 0.2083 0.5000 0.8923
Dy1 Dy 0.0000 0.5000 0.0000
Pb1 Pb 0.0645 0.0000 0.7603
Pb2 Pb 0.2013 0.0000 0.3286

(5)
# PrDy2Pb, relaxed, DFT GGA-PBE
# - calculated formation energy (eV per atom) = -0.24
data_PrDy2Pb
_symmetry_space_group_name_H-M 'C m c m'
_symmetry_Int_Tables_number 63
_symmetry_space_group_name_Hall '-C 2c 2'
_cell_length_a 4.3073
_cell_length_b 12.6766
_cell_length_c 9.5567
_cell_angle_alpha 90.00
_cell_angle_beta 90.00
_cell_angle_gamma 90.00
loop_
_atom_site_label
_atom_site_type_symbol
_atom_site_fract_x
_atom_site_fract_y
_atom_site_fract_z
Pr1 Pr 0.0000 0.0551 0.2500
Dy1 Dy 0.0000 0.3638 0.0471
Pb1 Pb 0.0000 0.2422 0.7500

(6)
# Pr2DyPb3, relaxed, DFT GGA-PBE
# - calculated formation energy (eV per atom) = -0.50
data_Pr2DyPb3
_symmetry_space_group_name_H-M 'C m m m'
_symmetry_Int_Tables_number 65
_symmetry_space_group_name_Hall '-C 2 2'
_cell_length_a 5.0499
_cell_length_b 15.4106
_cell_length_c 9.2009
_cell_angle_alpha 90.00
_cell_angle_beta 90.00
_cell_angle_gamma 90.00
loop_
_atom_site_label
_atom_site_type_symbol
_atom_site_fract_x
_atom_site_fract_y
_atom_site_fract_z
Pr1 Pr 0.0000 0.0000 0.0000
Pr2 Pr 0.0000 0.0000 0.5000
Pr3 Pr 0.0000 0.3333 0.0000
Dy1 Dy 0.0000 0.3316 0.5000
Pb1 Pb 0.0000 0.1684 0.2560
Pb2 Pb 0.0000 0.5000 0.2551

(7)
# Pr2DyPb, relaxed, DFT GGA-PBE
# - calculated formation energy (eV per atom) = -0.14
data_Pr2DyPb
_symmetry_space_group_name_H-M 'R 3 m'
_symmetry_Int_Tables_number 160
_symmetry_space_group_name_Hall 'R 3 -2"'
_cell_length_a 3.6808
_cell_length_b 3.6808
_cell_length_c 34.0729
_cell_angle_alpha 90.00
_cell_angle_beta 90.00
_cell_angle_gamma 120.00
loop_
_atom_site_label
_atom_site_type_symbol
_atom_site_fract_x
_atom_site_fract_y
_atom_site_fract_z
Pr1 Pr 0.0000 0.0000 0.0000
Pr2 Pr 0.0000 0.0000 0.1708
Dy1 Dy 0.0000 0.0000 0.4188
Pb1 Pb 0.0000 0.0000 0.5850

(8)
# PrDyPbSe, relaxed, DFT GGA-PBE
# - E_form (uncorrected) (eV per atom) = -1.085
data_PrDyPbSe
_symmetry_space_group_name_H-M 'P 1'
_symmetry_Int_Tables_number 1
_symmetry_space_group_name_Hall 'P 1'
_cell_length_a 3.9615
_cell_length_b 3.9615
_cell_length_c 8.7998
_cell_angle_alpha 77.04
_cell_angle_beta 77.01
_cell_angle_gamma 60.09
loop_
_atom_site_label
_atom_site_type_symbol
_atom_site_fract_x
_atom_site_fract_y
_atom_site_fract_z
Pr1 Pr 0.0000 0.0000 0.0000
Dy1 Dy 0.1935 0.1938 0.4201
Pb1 Pb 0.4361 0.4327 0.7032
Se1 Se 0.5930 0.5931 0.2212

(9)
# Pr2Sm3Dy6Pb, relaxed, DFT GGA-PBE
# - calculated formation energy (eV per atom) = -0.07
data_Pr2Sm3Dy6Pb
_symmetry_space_group_name_H-M 'C 1 2/m 1'
_symmetry_Int_Tables_number 12
_symmetry_space_group_name_Hall '-C 2y'
_cell_length_a 6.1607
_cell_length_b 10.6727
_cell_length_c 11.8298
_cell_angle_alpha 90.00
_cell_angle_beta 100.06
_cell_angle_gamma 90.00
loop_
_atom_site_label
_atom_site_type_symbol
_atom_site_fract_x
_atom_site_fract_y
_atom_site_fract_z
Pr1 Pr 0.0000 0.1662 0.0000
Sm1 Sm 0.0000 0.0000 0.5000
Sm2 Sm 0.0000 0.3322 0.5000
Dy1 Dy 0.2433 0.5000 0.7500
Dy2 Dy 0.2454 0.3369 0.2489
Pb1 Pb 0.0000 0.5000 0.0000

(10)
# PrDySnPb, relaxed, DFT GGA-PBE
# - calculated formation energy (eV per atom) = -0.48
data_PrDySnPb
_symmetry_space_group_name_H-M 'F -4 3 m'
_symmetry_Int_Tables_number 216
_symmetry_space_group_name_Hall 'F -4 2 3'
_cell_length_a 7.7712
_cell_length_b 7.7712
_cell_length_c 7.7712
_cell_angle_alpha 90.00
_cell_angle_beta 90.00
_cell_angle_gamma 90.00
loop_
_atom_site_label
_atom_site_type_symbol
_atom_site_fract_x
_atom_site_fract_y
_atom_site_fract_z
Pr1 Pr 0.0000 0.0000 0.0000
Dy1 Dy 0.0000 0.0000 0.5000
Sn1 Sn 0.2500 0.2500 0.2500
Pb1 Pb 0.2500 0.2500 0.7500

(11)
# Pr2Dy3Tm6Pb, relaxed, DFT GGA-PBE
# - calculated formation energy (eV per atom) = -0.07
data_Pr2Dy3Tm6Pb
_symmetry_space_group_name_H-M 'C 1 2/m 1'
_symmetry_Int_Tables_number 12
_symmetry_space_group_name_Hall '-C 2y'
_cell_length_a 6.0710
_cell_length_b 10.5200
_cell_length_c 11.6873
_cell_angle_alpha 90.00
_cell_angle_beta 100.03
_cell_angle_gamma 90.00
loop_
_atom_site_label
_atom_site_type_symbol
_atom_site_fract_x
_atom_site_fract_y
_atom_site_fract_z
Pr1 Pr 0.0000 0.1662 0.0000
Dy1 Dy 0.0000 0.0000 0.5000
Dy2 Dy 0.0000 0.3327 0.5000
Tm1 Tm 0.2438 0.5000 0.7477
Tm2 Tm 0.2465 0.3364 0.2514
Pb1 Pb 0.0000 0.5000 0.0000

(12)
# Dy7Pt2Pb2, relaxed, DFT GGA-PBE
# - calculated formation energy (eV per atom) = -0.56
data_Dy7Pt2Pb2
_symmetry_space_group_name_H-M 'C m m m'
_symmetry_Int_Tables_number 65
_symmetry_space_group_name_Hall '-C 2 2'
_cell_length_a 8.4094
_cell_length_b 11.0457
_cell_length_c 7.1274
_cell_angle_alpha 90.00
_cell_angle_beta 90.00
_cell_angle_gamma 90.00
loop_
_atom_site_label
_atom_site_type_symbol
_atom_site_fract_x
_atom_site_fract_y
_atom_site_fract_z
Dy1 Dy 0.0000 0.0000 0.0000
Dy2 Dy 0.0000 0.5000 0.2351
Dy3 Dy 0.2500 0.2500 0.2466
Pt1 Pt 0.0000 0.2842 0.0000
Pb1 Pb 0.1864 0.0000 0.5000

Number 1: density 7.82 g cm⁻³. Number 2: density 8.76 g cm⁻³. Number 3: density 10.13 g cm⁻³. Number 4: density 8.07 g cm⁻³. Number 5: density 8.57 g cm⁻³. Number 6: density 9.89 g cm⁻³. Number 7: density 8.12 g cm⁻³. Number 8: density 8.47 g cm⁻³. Number 9: density 8.30 g cm⁻³. Number 10: density 8.91 g cm⁻³. Number 11: density 8.99 g cm⁻³. Number 12: density 9.74 g cm⁻³.